Compound: KMnSi2
Source: Alexandria
Functional: GGA-PBE
Structure: optimized geometry

Summary:
energy relative to the elements, uncorrected	0.572	eV/atom
total moment	7.77	Bohr magnetons per cell
VASP energy	-4.7067	eV per atom
space-group type	Imm2, No. 44

a = 2.8073 Å, b = 5.7619 Å, c = 10.5020 Å
α = 90.00°, β = 90.00°, γ = 90.00°
Atoms (fractional coordinates):
K 0.0000 0.0000 0.0000
K 0.5000 0.5000 0.5000
Mn 0.0000 0.5000 0.8179
Mn 0.5000 0.0000 0.3179
Si 0.0000 0.0000 0.5127
Si 0.0000 0.5000 0.2040
Si 0.5000 0.0000 0.7040
Si 0.5000 0.5000 0.0127